Entry 1:
The following is a DFT calculation (GGA-PBE) of an optimized crystal structure of Sc2NbCrAs.

Energy of formation from the pure elements ... 0.40 eV/atom
Crystal system ... tetragonal
E ... -7.00 eV per atom

Unit cell a=4.9006 b=4.4125 c=4.9006 alpha=90.00 beta=90.00 gamma=90.00
Last column: nearest neighbours and their distance in Å.
Sites, in units of the cell vectors:
Sc: 0.0000 0.0000 0.5000  2 Cr 2.45
Sc: 0.5000 0.0000 0.0000  2 Cr 2.45
Cr: 0.0000 0.0000 0.0000  2 Nb 2.21, 4 Sc 2.45
Nb: 0.0000 0.5000 0.0000  2 Cr 2.21
As: 0.5000 0.5000 0.5000  8 Sc 3.30, 4 Nb 3.47

Entry 2:
The following is a DFT calculation (GGA-PBE) of an optimized crystal structure of NbCrAs2Se.

Crystal system ... tetragonal
E ... -6.04 eV per atom
Energy above the most stable polymorph in this dataset ... 0.000 eV per atom
E_form (uncorrected) ... 10.60 kcal/mol of atoms

Unit cell a=5.0210 b=5.0210 c=5.0012 alpha=90.00 beta=90.00 gamma=90.00
Last column: nearest neighbours and their distance in Å.
Sites, in units of the cell vectors:
Cr: 0.5000 0.5000 0.5000  8 As 3.54, 4 Se 3.55
Nb: 0.0000 0.0000 0.0000  2 Se 2.50, 4 As 2.51
As: 0.0000 0.5000 0.0000  2 Nb 2.51
As: 0.5000 0.0000 0.0000  2 Nb 2.51
Se: 0.0000 0.0000 0.5000  2 Nb 2.50

Entry 3:
The following is a DFT calculation (GGA-PBE) of an optimized crystal structure of NbCrAs2Se.

Crystal system ... tetragonal
E ... -5.92 eV per atom
Energy above the most stable polymorph in this dataset ... 0.113 eV per atom
E_form (uncorrected) ... 13.21 kcal/mol of atoms

Unit cell a=4.6064 b=4.6064 c=4.8863 alpha=90.00 beta=90.00 gamma=90.00
Last column: nearest neighbours and their distance in Å.
Sites, in units of the cell vectors:
Cr: 0.0000 0.0000 0.0000  4 As 2.30, 2 Se 2.44
Nb: 0.5000 0.5000 0.5000  4 Se 3.26, 8 As 3.36
As: 0.0000 0.5000 0.0000  2 Cr 2.30
As: 0.5000 0.0000 0.0000  2 Cr 2.30
Se: 0.0000 0.0000 0.5000  2 Cr 2.44

Entry 4:
The following is a DFT calculation (GGA-PBE) of an optimized crystal structure of NbCrAsSe2.

Crystal system ... tetragonal
E ... -5.77 eV per atom
Energy above the most stable polymorph in this dataset ... 0.000 eV per atom
E_form (uncorrected) ... 11.24 kcal/mol of atoms

Unit cell a=4.7745 b=4.7745 c=4.6620 alpha=90.00 beta=90.00 gamma=90.00
Last column: nearest neighbours and their distance in Å.
Sites, in units of the cell vectors:
Cr: 0.0000 0.0000 0.0000  2 As 2.33, 4 Se 2.39
Nb: 0.5000 0.5000 0.5000  8 Se 3.34, 4 As 3.38
As: 0.0000 0.0000 0.5000  2 Cr 2.33
Se: 0.0000 0.5000 0.0000  2 Cr 2.39
Se: 0.5000 0.0000 0.0000  2 Cr 2.39

Entry 5:
The following is a DFT calculation (GGA-PBE) of an optimized crystal structure of NbCrAsSe2.

Crystal system ... tetragonal
E ... -5.42 eV per atom
Energy above the most stable polymorph in this dataset ... 0.351 eV per atom
E_form (uncorrected) ... 19.33 kcal/mol of atoms

Unit cell a=4.9567 b=4.9567 c=5.0551 alpha=90.00 beta=90.00 gamma=90.00
Last column: nearest neighbours and their distance in Å.
Sites, in units of the cell vectors:
Cr: 0.5000 0.5000 0.5000  4 As 3.50, 8 Se 3.54
Nb: 0.0000 0.0000 0.0000  4 Se 2.48, 2 As 2.53
As: 0.0000 0.0000 0.5000  2 Nb 2.53
Se: 0.0000 0.5000 0.0000  2 Nb 2.48
Se: 0.5000 0.0000 0.0000  2 Nb 2.48

Entry 6:
The following is a DFT calculation (GGA-PBE) of an optimized crystal structure of NbCrSi2As.

Crystal system ... tetragonal
E ... -5.47 eV per atom
E_form (uncorrected) ... 36.04 kcal/mol of atoms

Unit cell a=4.5992 b=4.7552 c=4.5992 alpha=90.00 beta=90.00 gamma=90.00
Last column: nearest neighbours and their distance in Å.
Sites, in units of the cell vectors:
Cr: 0.5000 0.5000 0.5000  4 Nb 3.25, 8 Si 3.31
Nb: 0.0000 0.5000 0.0000  2 As 2.38
Si: 0.0000 0.0000 0.5000  2 As 2.30
Si: 0.5000 0.0000 0.0000  2 As 2.30
As: 0.0000 0.0000 0.0000  4 Si 2.30, 2 Nb 2.38

Entry 7:
The following is a DFT calculation (GGA-PBE) of an optimized crystal structure of SrNbCr2As.

Energy of formation from the pure elements ... 1.44 eV/atom
Crystal system ... tetragonal
E ... -5.69 eV per atom

Unit cell a=4.4982 b=5.9313 c=4.4982 alpha=90.00 beta=90.00 gamma=90.00
Last column: nearest neighbours and their distance in Å.
Sites, in units of the cell vectors:
Sr: 0.0000 0.5000 0.0000  2 Nb 2.97, 4 As 3.18
Nb: 0.0000 0.0000 0.0000  4 Cr 2.25
As: 0.5000 0.5000 0.5000  4 Sr 3.18
Cr: 0.0000 0.0000 0.5000  2 Nb 2.25
Cr: 0.5000 0.0000 0.0000  2 Nb 2.25

Entry 8:
The following is a DFT calculation (GGA-PBE) of an optimized crystal structure of YNbCr2As.

Energy of formation from the pure elements ... 0.91 eV/atom
Crystal system ... tetragonal
E ... -7.18 eV per atom

Unit cell a=4.4215 b=5.1589 c=4.4215 alpha=90.00 beta=90.00 gamma=90.00
Last column: nearest neighbours and their distance in Å.
Sites, in units of the cell vectors:
Y: 0.0000 0.5000 0.0000  2 As 2.58
Cr: 0.0000 0.0000 0.5000  2 As 2.21
Cr: 0.5000 0.0000 0.0000  2 As 2.21
Nb: 0.5000 0.5000 0.5000  4 Y 3.13, 8 Cr 3.40
As: 0.0000 0.0000 0.0000  4 Cr 2.21

Entry 9:
The following is a DFT calculation (GGA-PBE) of an optimized crystal structure of ZrNb2CrAs.

Energy of formation from the pure elements ... 1.91 eV/atom
Crystal system ... tetragonal
E ... -6.68 eV per atom

Unit cell a=4.9075 b=4.9584 c=4.9075 alpha=90.00 beta=90.00 gamma=90.00
Last column: nearest neighbours and their distance in Å.
Sites, in units of the cell vectors:
Cr: 0.5000 0.5000 0.5000  4 As 3.47, 8 Nb 3.49
Nb: 0.0000 0.0000 0.5000  2 Zr 2.45
Nb: 0.5000 0.0000 0.0000  2 Zr 2.45
As: 0.0000 0.5000 0.0000  2 Zr 2.48
Zr: 0.0000 0.0000 0.0000  4 Nb 2.45, 2 As 2.48